Material: ZnCoO3
Method: DFT, PBE with a Hubbard U
State: optimized geometry

Properties
ρ   5.86 g/cm³
Calculated volume   49 Å³/cell
E   -4.624 eV/atom

The structure in CIF format:
```
data_ZnCoO3
_chemical_formula_sum 'Zn1 Co1 O3'
_cell_length_a 3.656
_cell_length_b 3.656
_cell_length_c 3.656
_cell_angle_alpha 90.00
_cell_angle_beta 90.00
_cell_angle_gamma 90.00
_symmetry_space_group_name_H-M 'P m -3 m'
_symmetry_Int_Tables_number 221
_symmetry_space_group_name_Hall '-P 4 2 3'
loop_
_atom_site_label
_atom_site_type_symbol
_atom_site_fract_x
_atom_site_fract_y
_atom_site_fract_z
_atom_site_occupancy
Zn1 Zn 0.000 0.000 0.000 1
Co1 Co 0.500 0.500 0.500 1
O1 O 0.000 0.500 0.500 1
```